The following is a DFT calculation (PBE) of Pm3AgAs after structural relaxation.

Results
- Total DFT energy (no corrections): -4.57 eV/atom
- D(E_F): 1.94 states/eV per atom
- SG: Pm-3m, No. 221
- Calculated formation energy: -5.09 kcal/mol of atoms
- Total magnetization: 0.01 μB/f.u.

Cell: 5.5543 5.5543 5.5543 Å, 90.00 90.00 90.00°
Sites, in units of the cell vectors:
As1 0.0000 0.0000 0.0000
Pm1 0.0000 0.0000 0.5000
Pm2 0.5000 0.0000 0.0000
Pm3 0.0000 0.5000 0.0000
Ag1 0.5000 0.5000 0.5000

***

The following is a DFT calculation (PBE) of Ac3ErHg4 after structural relaxation.

Results
- Total DFT energy (no corrections): -2.71 eV/atom
- D(E_F): 1.17 states/eV per atom
- SG: P4/mmm, No. 123
- Calculated formation energy: -10.43 kcal/mol of atoms
- Total magnetization: 1.03 μB/f.u.

Cell: 3.9197 3.9197 16.1294 Å, 90.00 90.00 90.00°
Sites, in units of the cell vectors:
Ac1 0.5000 0.5000 0.5000
Ac2 0.5000 0.5000 0.2386
Ac3 0.5000 0.5000 0.7614
Hg1 0.0000 0.0000 0.6293
Hg2 0.0000 0.0000 0.8977
Hg3 0.0000 0.0000 0.1023
Hg4 0.0000 0.0000 0.3707
Er1 0.5000 0.5000 0.0000

***

The following is a DFT calculation (PBE) of CdNi2GeRu after structural relaxation.

Results
- Total DFT energy (no corrections): -4.28 eV/atom
- D(E_F): 1.08 states/eV per atom
- SG: P4/mmm, No. 123
- Calculated formation energy: 23.03 kcal/mol of atoms
- Total magnetization: 2.09 μB/f.u.

Cell: 4.2999 4.9175 4.2999 Å, 90.00 90.00 90.00°
Sites, in units of the cell vectors:
Cd1 0.0000 0.5000 0.0000
Ni1 0.5000 0.0000 0.0000
Ni2 0.0000 0.0000 0.5000
Ge1 0.0000 0.0000 0.0000
Ru1 0.5000 0.5000 0.5000

***

The following is a DFT calculation (PBE) of Tm2ScPaCo2 after structural relaxation.

Results
- Total DFT energy (no corrections): -6.71 eV/atom
- D(E_F): 1.13 states/eV per atom
- SG: Ibam, No. 72
- Calculated formation energy: -5.00 kcal/mol of atoms
- Total magnetization: 0.00 μB/f.u.

Cell: 6.5761 6.4342 7.7487 Å, 114.53 115.11 90.00°
Sites, in units of the cell vectors:
Pa1 0.7500 0.5000 0.0000
Pa2 0.2500 0.5000 0.0000
Co1 0.4088 0.6334 0.8176
Co2 0.5912 0.3666 0.1824
Co3 0.0912 0.8158 0.1824
Co4 0.9088 0.1842 0.8176
Sc1 0.7500 0.0000 0.0000
Sc2 0.2500 0.0000 0.0000
Tm1 0.8053 0.5572 0.6105
Tm2 0.1947 0.4428 0.3895
Tm3 0.3053 0.0533 0.6105
Tm4 0.6947 0.9467 0.3895